Computed, not measured: a relaxed KCdFe2 crystal at the GGA-PBEsol level of DFT.

Unit cell a=2.7580 b=5.1599 c=5.1201 alpha=90.00 beta=90.00 gamma=90.00
Site moments in Bohr magnetons follow the coordinates.
Element x y z (fractional)
Cd: 0.0000 0.5000 0.5000  -0.05
Fe: 0.0000 0.0000 0.0000  2.78
K: 0.5000 0.0000 0.5000  -0.05
Fe: 0.5000 0.5000 0.0000  2.76

Summary:
- V (Å³ per cell) = 73



Computed, not measured: a relaxed KCdFe2 crystal at the GGA-PBEsol level of DFT.

Unit cell a=3.0478 b=3.0477 c=8.3427 alpha=90.00 beta=90.02 gamma=90.00
Site moments in Bohr magnetons follow the coordinates.
Element x y z (fractional)
K: 0.9991 0.0000 0.4766  0.00
Fe: 0.0004 0.0000 0.0433  2.41
Fe: 0.5005 0.5000 0.1583  2.52
Cd: 0.5000 0.5000 0.8218  -0.01

Summary:
- V (Å³ per cell) = 77



Computed, not measured: a relaxed KCdFe2Rh crystal at the GGA-PBEsol level of DFT.

Unit cell a=4.4042 b=4.4042 c=4.6898 alpha=90.00 beta=90.00 gamma=90.00
Site moments in Bohr magnetons follow the coordinates.
Element x y z (fractional)
Rh: 0.0000 0.0000 0.5000  0.44
Cd: 0.5000 0.5000 0.5000  -0.01
K: 0.0000 0.0000 0.0000  -0.01
Fe: 0.5000 0.0000 0.0000  2.71
Fe: 0.0000 0.5000 0.0000  2.71

Summary:
- V (Å³ per cell) = 91



| no. | calculated formation energy (kJ/mol of formula units) |
| --- | --- |
| 1 | 430 |
| 2 | 206 |
| 3 | 1061 |